Density functional theory data (PBE-GGA) for a relaxed structure of UNiSn.

Output
DFT total energy = -6.82 eV/atom
symmetry = P2, No. 3
spin magnetization = 1.521 Bohr magnetons per cell
calculated formation energy = 0.615 eV per formula unit

Structure (POSCAR):
```
UNiSn
1.0
3.221 -0.248 0.000
-1.386 2.693 0.000
0.000 0.000 7.122
Sn Ni U
1 1 1
direct
0.500 0.500 0.894
0.500 0.000 0.200
0.000 0.000 0.494
```